Crystalline SrMo2As at its relaxed geometry, computed with PBE.

Mass density in g cm⁻³: 7.4
Symmetry: Cmmm (65)
ΔE_f in eV per atom: 0.707
Total moment in μB/f.u.: 0.00
Calculated volume in A^3/atom: 19.84

a b c (Å): 3.0330 3.0330 9.0998
angles (deg): 90.00 90.00 108.55
With the nearest neighbours (Å) after each atom.
Atoms (fractional coordinates):
Sr 0.0000 0.0000 0.0000  4 Sr 3.03, 4 Mo 3.27
Mo 0.5000 0.5000 0.3023  2 As 2.52
Mo 0.5000 0.5000 0.6977  2 As 2.52
As 0.0000 0.0000 0.5000  4 Mo 2.52